Record 1
Below is a relaxed LuSnOsRu crystal, with properties calculated at the PBE level.

## Properties
SG	F-43m, No. 216
volume	17.6	Å³/atom
formation enthalpy at 0 K	-218	meV per atom

Geometry as POSCAR:
```
LuSnOsRu
1.0
0.0000 3.2757 3.2757
3.2757 0.0000 3.2757
3.2757 3.2757 0.0000
Lu Sn Os Ru
1 1 1 1
direct
0.0000 0.0000 0.0000 Lu
0.5000 0.5000 0.5000 Sn
0.7500 0.7500 0.7500 Os
0.2500 0.2500 0.2500 Ru
```

---

Record 2
Below is a relaxed Nd2Al crystal, with properties calculated at the PBE level.

## Properties
SG	Pnma, No. 62
volume	29.2	Å³/atom
formation enthalpy at 0 K	-244	meV per atom

Geometry as POSCAR:
```
Nd2Al
1.0
6.7465 0.0000 0.0000
0.0000 5.2694 0.0000
0.0000 0.0000 9.8671
Nd Al
8 4
direct
0.0244 0.2500 0.2033 Nd
0.1890 0.2500 0.5775 Nd
0.3110 0.7500 0.0775 Nd
0.4756 0.7500 0.7033 Nd
0.5244 0.2500 0.2967 Nd
0.6890 0.2500 0.9225 Nd
0.8110 0.7500 0.4225 Nd
0.9756 0.7500 0.7967 Nd
0.2080 0.2500 0.8986 Al
0.2920 0.7500 0.3986 Al
0.7080 0.2500 0.6014 Al
0.7920 0.7500 0.1014 Al
```

---

Record 3
Below is a relaxed LaScNi2 crystal, with properties calculated at the PBE level.

## Properties
SG	F-43m, No. 216
energy above the lowest structure with this stoichiometry	318	meV/atom
volume	17.3	Å³/atom
formation enthalpy at 0 K	-43	meV per atom

Geometry as POSCAR:
```
LaScNi2
1.0
0.0000 3.2614 3.2614
3.2614 0.0000 3.2614
3.2614 3.2614 0.0000
La Sc Ni
1 1 2
direct
0.0000 0.0000 0.0000 La
0.2500 0.2500 0.2500 Sc
0.5000 0.5000 0.5000 Ni
0.7500 0.7500 0.7500 Ni
```

---

Record 4
Below is a relaxed CaAcAgAs crystal, with properties calculated at the PBE level.

## Properties
SG	F-43m, No. 216
volume	27.4	Å³/atom
formation enthalpy at 0 K	-656	meV per atom

Geometry as POSCAR:
```
CaAcAgAs
1.0
0.0000 3.8005 3.8005
3.8005 0.0000 3.8005
3.8005 3.8005 0.0000
Ca Ac Ag As
1 1 1 1
direct
0.0000 0.0000 0.0000 Ca
0.5000 0.5000 0.5000 Ac
0.2500 0.2500 0.2500 Ag
0.7500 0.7500 0.7500 As
```

---

Record 5
Below is a relaxed PuNpCoRh crystal, with properties calculated at the PBE level.

## Properties
SG	F-43m, No. 216
volume	15.6	Å³/atom
formation enthalpy at 0 K	-224	meV per atom

Geometry as POSCAR:
```
PuNpCoRh
1.0
0.0000 3.1483 3.1483
3.1483 0.0000 3.1483
3.1483 3.1483 0.0000
Pu Np Co Rh
1 1 1 1
direct
0.0000 0.0000 0.0000 Pu
0.2500 0.2500 0.2500 Np
0.7500 0.7500 0.7500 Co
0.5000 0.5000 0.5000 Rh
```

---

Record 6
Below is a relaxed Li2ZnNi crystal, with properties calculated at the PBE level.

## Properties
SG	Pm, No. 6
volume	13.3	Å³/atom
formation enthalpy at 0 K	-115	meV per atom

Geometry as POSCAR:
```
Li2ZnNi
1.0
2.6345 0.0000 0.0000
0.0000 3.7345 0.0000
-0.1641 0.0000 5.4264
Li Zn Ni
2 1 1
direct
0.0000 0.0000 0.0000 Li
0.4862 0.5000 0.2759 Li
0.4936 0.5000 0.7305 Zn
0.9858 0.0000 0.5245 Ni
```

---

Record 7
Below is a relaxed CrCdSi crystal, with properties calculated at the PBE level.

## Properties
uncorrected formation energy	0.94	eV per formula unit
SG	I4mm, No. 107
energy above the lowest structure with this stoichiometry	0	meV/atom
volume	16.7	Å³/atom

Geometry as POSCAR:
```
CrCdSi
1.0
-1.4954 1.4954 5.5949
1.4954 -1.4954 5.5949
1.4954 1.4954 -5.5949
Cr Cd Si
1 1 1
direct
0.0000 0.0000 0.0000 Cr
0.3143 0.3143 0.0000 Cd
0.6157 0.6157 0.0000 Si
```

---

Record 8
Below is a relaxed Cs2YSc2 crystal, with properties calculated at the PBE level.

## Properties
SG	P4/mbm, No. 127
energy above the lowest structure with this stoichiometry	188	meV/atom
volume	43.7	Å³/atom
formation enthalpy at 0 K	1057	meV per atom

Geometry as POSCAR:
```
Cs2YSc2
1.0
10.9595 0.0000 0.0000
0.0000 10.9595 0.0000
0.0000 0.0000 3.6370
Cs Y Sc
4 2 4
direct
0.1946 0.3054 0.0000 Cs
0.3054 0.8054 0.0000 Cs
0.6946 0.1946 0.0000 Cs
0.8054 0.6946 0.0000 Cs
0.0000 0.0000 0.5000 Y
0.5000 0.5000 0.5000 Y
0.0960 0.5960 0.5000 Sc
0.4040 0.0960 0.5000 Sc
0.5960 0.9040 0.5000 Sc
0.9040 0.4040 0.5000 Sc
```

---

Record 9
Below is a relaxed Sm3Al8Au3 crystal, with properties calculated at the PBE level.

## Properties
SG	C2/m, No. 12
energy above the lowest structure with this stoichiometry	0	meV/atom
volume	19.9	Å³/atom
formation enthalpy at 0 K	-582	meV per atom

Geometry as POSCAR:
```
Sm3Al8Au3
1.0
8.0521 -2.2153 0.0000
8.0521 2.2153 0.0000
-5.8679 0.0000 7.8029
Sm Al Au
3 8 3
direct
0.0000 0.0000 0.0000 Sm
0.3011 0.3011 0.3035 Sm
0.6988 0.6988 0.6965 Sm
0.1381 0.1381 0.8588 Al
0.1432 0.1432 0.4230 Al
0.3402 0.3402 0.9654 Al
0.4976 0.4976 0.3030 Al
0.5024 0.5024 0.6970 Al
0.6598 0.6598 0.0346 Al
0.8568 0.8568 0.5770 Al
0.8619 0.8619 0.1412 Al
0.0000 0.0000 0.5000 Au
0.3452 0.3452 0.7046 Au
0.6548 0.6548 0.2954 Au
```

---

Record 10
Below is a relaxed KEr4PuS8 crystal, with properties calculated at the PBE level.

## Properties
uncorrected formation energy	-25.71	eV per formula unit
SG	R3m, No. 160
volume	27.7	Å³/atom

Geometry as POSCAR:
```
KEr4PuS8
1.0
4.0674 2.3483 6.7663
-4.0674 2.3483 6.7663
0.0000 -4.6966 6.7663
K Er Pu S
1 4 1 8
direct
0.0000 0.0000 0.0000 K
0.3688 0.3688 0.8860 Er
0.3688 0.8860 0.3688 Er
0.7479 0.7479 0.7479 Er
0.8860 0.3688 0.3688 Er
0.3702 0.3702 0.3702 Pu
0.1382 0.1382 0.5720 S
0.1382 0.5720 0.1382 S
0.1403 0.1403 0.1403 S
0.1439 0.6207 0.6207 S
0.5720 0.1382 0.1382 S
0.6162 0.6162 0.6162 S
0.6207 0.1439 0.6207 S
0.6207 0.6207 0.1439 S
```

---

Record 11
Below is a relaxed AlGaF2 crystal, with properties calculated at the PBE level.

## Properties
uncorrected formation energy	-6.94	eV per formula unit
SG	R-3m, No. 166
energy above the lowest structure with this stoichiometry	0	meV/atom
volume	14.2	Å³/atom

Geometry as POSCAR:
```
AlGaF2
1.0
1.4692 0.8482 7.6159
-1.4692 0.8482 7.6159
0.0000 -1.6965 7.6159
Al Ga F
1 1 2
direct
0.0000 0.0000 0.0000 Al
0.5000 0.5000 0.5000 Ga
0.0793 0.0793 0.0793 F
0.9207 0.9207 0.9207 F
```

---

Record 12
Below is a relaxed Ho3Pa2N4 crystal, with properties calculated at the PBE level.

## Properties
uncorrected formation energy	-12.49	eV per formula unit
SG	C2/m, No. 12
volume	16.3	Å³/atom

Geometry as POSCAR:
```
Ho3Pa2N4
1.0
5.7310 -1.7138 0.0000
5.7310 1.7138 0.0000
-4.2722 0.0000 7.4860
Ho Pa N
3 2 4
direct
0.0000 0.0000 0.0000 Ho
0.2045 0.2045 0.8091 Ho
0.7955 0.7955 0.1909 Ho
0.3988 0.3988 0.6078 Pa
0.6012 0.6012 0.3922 Pa
0.1941 0.1941 0.2954 N
0.4040 0.4040 0.1060 N
0.5960 0.5960 0.8940 N
0.8059 0.8059 0.7046 N
```

---

Record 13
Below is a relaxed La4GeS2 crystal, with properties calculated at the PBE level.

## Properties
uncorrected formation energy	-10.32	eV per formula unit
SG	Cmcm, No. 63
volume	28.7	Å³/atom

Geometry as POSCAR:
```
La4GeS2
1.0
2.1140 -6.7873 0.0000
2.1140 6.7873 0.0000
0.0000 0.0000 14.0049
La Ge S
8 2 4
direct
0.0000 0.0000 0.0000 La
0.0000 0.0000 0.5000 La
0.2745 0.7255 0.6225 La
0.2745 0.7255 0.8775 La
0.4463 0.5537 0.2500 La
0.5537 0.4463 0.7500 La
0.7255 0.2745 0.1225 La
0.7255 0.2745 0.3775 La
0.1075 0.8925 0.2500 Ge
0.8925 0.1075 0.7500 Ge
0.3634 0.6366 0.0615 S
0.3634 0.6366 0.4385 S
0.6366 0.3634 0.5615 S
0.6366 0.3634 0.9385 S
```

---

Record 14
Below is a relaxed Sm2Ga3CoIr4 crystal, with properties calculated at the PBE level.

## Properties
SG	P-4m2, No. 115
volume	18.2	Å³/atom
formation enthalpy at 0 K	-578	meV per atom

Geometry as POSCAR:
```
Sm2Ga3CoIr4
1.0
4.2085 0.0000 0.0000
0.0000 4.2085 0.0000
0.0000 0.0000 10.3035
Sm Ga Co Ir
2 3 1 4
direct
0.0000 0.5000 0.2473 Sm
0.5000 0.0000 0.7527 Sm
0.0000 0.5000 0.8693 Ga
0.5000 0.0000 0.1307 Ga
0.5000 0.5000 0.5000 Ga
0.0000 0.0000 0.5000 Co
0.0000 0.0000 0.0000 Ir
0.0000 0.5000 0.6301 Ir
0.5000 0.0000 0.3699 Ir
0.5000 0.5000 0.0000 Ir
```

---

Record 15
Below is a relaxed SmTmFeCu crystal, with properties calculated at the PBE level.

## Properties
SG	F-43m, No. 216
volume	19.7	Å³/atom
formation enthalpy at 0 K	10	meV per atom

Geometry as POSCAR:
```
SmTmFeCu
1.0
0.0000 3.4010 3.4010
3.4010 0.0000 3.4010
3.4010 3.4010 0.0000
Sm Tm Fe Cu
1 1 1 1
direct
0.0000 0.0000 0.0000 Sm
0.5000 0.5000 0.5000 Tm
0.2500 0.2500 0.2500 Fe
0.7500 0.7500 0.7500 Cu
```

---

Record 16
Below is a relaxed KTmInTe3 crystal, with properties calculated at the PBE level.

## Properties
uncorrected formation energy	-5.74	eV per formula unit
SG	P2_1/m, No. 11
volume	36.6	Å³/atom

Geometry as POSCAR:
```
KTmInTe3
1.0
9.2864 0.0000 0.0000
0.0000 4.2713 0.0000
-3.5628 0.0000 11.0814
K Tm In Te
2 2 2 6
direct
0.2263 0.2500 0.2777 K
0.7737 0.7500 0.7223 K
0.3626 0.7500 0.8451 Tm
0.6374 0.2500 0.1549 Tm
0.1235 0.2500 0.5704 In
0.8765 0.7500 0.4296 In
0.1148 0.2500 0.8142 Te
0.3459 0.7500 0.5741 Te
0.3946 0.7500 0.1130 Te
0.6054 0.2500 0.8870 Te
0.6541 0.2500 0.4259 Te
0.8852 0.7500 0.1858 Te
```

---

Record 17
Below is a relaxed Ba2Zn3GeAu12 crystal, with properties calculated at the PBE level.

## Properties
SG	R-3m, No. 166
volume	27.2	Å³/atom
formation enthalpy at 0 K	-147	meV per atom

Geometry as POSCAR:
```
Ba2Zn3GeAu12
1.0
4.0382 2.3315 8.6767
-4.0382 2.3315 8.6767
0.0000 -4.6629 8.6767
Ba Zn Ge Au
2 3 1 12
direct
0.1376 0.1376 0.1376 Ba
0.8624 0.8624 0.8624 Ba
0.0000 0.5000 0.5000 Zn
0.5000 0.0000 0.5000 Zn
0.5000 0.5000 0.0000 Zn
0.5000 0.5000 0.5000 Ge
0.1449 0.1449 0.5178 Au
0.1449 0.5178 0.1449 Au
0.1874 0.5524 0.5524 Au
0.4476 0.4476 0.8126 Au
0.4476 0.8126 0.4476 Au
0.4822 0.8551 0.8551 Au
0.5178 0.1449 0.1449 Au
0.5524 0.1874 0.5524 Au
0.5524 0.5524 0.1874 Au
0.8126 0.4476 0.4476 Au
0.8551 0.4822 0.8551 Au
0.8551 0.8551 0.4822 Au
```

---

Record 18
Below is a relaxed Sm4Ir2Se crystal, with properties calculated at the PBE level.

## Properties
uncorrected formation energy	-6.36	eV per formula unit
SG	I-42d, No. 122
volume	25.4	Å³/atom

Geometry as POSCAR:
```
Sm4Ir2Se
1.0
-4.4680 4.4680 4.4491
4.4680 -4.4680 4.4491
4.4680 4.4680 -4.4491
Sm Ir Se
8 4 2
direct
0.0100 0.7610 0.1195 Sm
0.1085 0.4890 0.7490 Sm
0.1095 0.9900 0.7510 Sm
0.2390 0.3585 0.2490 Sm
0.5110 0.2600 0.6195 Sm
0.6405 0.8915 0.3805 Sm
0.6415 0.8905 0.8805 Sm
0.7400 0.3595 0.2510 Sm
0.3750 0.0123 0.1373 Ir
0.7623 0.6250 0.6373 Ir
0.8750 0.2377 0.8627 Ir
0.9877 0.1250 0.3627 Ir
0.2500 0.7500 0.5000 Se
0.5000 0.5000 0.0000 Se
```

---

Record 19
Below is a relaxed Pr2HgIr2 crystal, with properties calculated at the PBE level.

## Properties
SG	Immm, No. 71
volume	23.6	Å³/atom
formation enthalpy at 0 K	-547	meV per atom

Geometry as POSCAR:
```
Pr2HgIr2
1.0
-2.2684 3.0274 4.3008
2.2684 -3.0274 4.3008
2.2684 3.0274 -4.3008
Pr Hg Ir
2 1 2
direct
0.2108 0.2108 0.0000 Pr
0.7892 0.7892 0.0000 Pr
0.5000 0.0000 0.5000 Hg
0.2066 0.5000 0.7066 Ir
0.7934 0.5000 0.2934 Ir
```

---

Record 20
Below is a relaxed Dy2Al4Pt3Au crystal, with properties calculated at the PBE level.

## Properties
SG	P-4m2, No. 115
volume	18.9	Å³/atom
formation enthalpy at 0 K	-1017	meV per atom

Geometry as POSCAR:
```
Dy2Al4Pt3Au
1.0
4.2143 0.0000 0.0000
0.0000 4.2143 0.0000
0.0000 0.0000 10.6184
Dy Al Pt Au
2 4 3 1
direct
0.0000 0.5000 0.2429 Dy
0.5000 0.0000 0.7571 Dy
0.0000 0.0000 0.0000 Al
0.0000 0.5000 0.6351 Al
0.5000 0.0000 0.3649 Al
0.5000 0.5000 0.0000 Al
0.0000 0.5000 0.8656 Pt
0.5000 0.0000 0.1344 Pt
0.5000 0.5000 0.5000 Pt
0.0000 0.0000 0.5000 Au
```